Entry from Alexandria: a geometry-optimized NiTe2WI structure (PBE).

The structure in POSCAR format:
```
NiTe2WI
1.0
-1.315 -3.574 3.528
-0.440 -3.550 -3.762
5.635 -1.410 0.672
I Ni Te W
1 1 2 1
Cartesian
2.817 -0.705 0.336 I
1.940 -4.268 0.219 Ni
-0.220 -1.775 -1.881 Te
-0.658 -1.787 1.764 Te
0.000 0.000 0.000 W
```

Results
E_form (uncorrected) ... 1.1311 eV/atom
Spin magnetization ... 1.42 μB per formula unit
Relative energy among the computed polymorphs ... 0.0000 eV per atom
Symmetry ... No. 123